This record from Alexandria via LeMat-Bulk describes a relaxed structure of FeBiP2O. The functional is PBE+U.

- theoretical density (g/cm³) = 6.38
- calculated total energy (eV per formula unit) = -24.520
- magnetic moment (μB/atom) = 0.676
- energy relative to the lowest polymorph listed for this composition (meV/atom) = 0
- crystal system = tetragonal

Cell lengths 4.9229, 4.9229, 3.6836 Å; angles 90.00, 90.00, 90.00 degrees
Space group P4/mmm (No. 123)
Symmetry-distinct sites (fractional):
Fe: 0.0000 0.0000 0.0000 (multiplicity 1)
Bi: 0.5000 0.5000 0.5000 (multiplicity 1)
P: 0.0000 0.5000 0.0000 (multiplicity 2)
O: 0.0000 0.0000 0.5000 (multiplicity 1)